# 1
# La6Ti2S8O5

A PBEsol-optimized structure of La6Ti2S8O5 (meta-GGA SCAN, Alexandria via LeMat-Bulk).

Results
- uncorrected formation energy (eV/atom) = -2.88
- total magnetization (Bohr magnetons per cell) = 0.0

Cell lengths 3.9801, 12.5631, 16.2290 Å; angles 97.04, 90.00, 90.00 degrees
Positions (direct):
La1 0.7500 0.6795 0.3519
La2 0.7500 0.3945 0.8739
La3 0.7500 0.0674 0.8820
La4 0.2500 0.6055 0.1261
La5 0.2500 0.3205 0.6481
La6 0.2500 0.3854 0.3972
La7 0.2500 0.9998 0.3799
La8 0.2500 0.9326 0.1180
La9 0.7500 0.6146 0.6028
La10 0.7500 0.0002 0.6201
La11 0.7500 0.7311 0.8978
La12 0.2500 0.2689 0.1022
Ti1 0.7500 0.4418 0.2257
Ti2 0.7500 0.1521 0.2322
Ti3 0.2500 0.8479 0.7678
Ti4 0.2500 0.5582 0.7743
S1 0.7500 0.4314 0.0611
S2 0.2500 0.2353 0.9236
S3 0.2500 0.9136 0.9327
S4 0.2500 0.7761 0.2684
S5 0.2500 0.8048 0.6256
S6 0.7500 0.3910 0.5338
S7 0.2500 0.6090 0.4662
S8 0.2500 0.5686 0.9389
S9 0.7500 0.7647 0.0764
S10 0.7500 0.9676 0.2458
S11 0.7500 0.8863 0.4544
S12 0.7500 0.1952 0.3744
S13 0.2500 0.1137 0.5456
S14 0.7500 0.2239 0.7316
S15 0.2500 0.0324 0.7542
S16 0.7500 0.0864 0.0673
O1 0.7500 0.2871 0.1915
O2 0.2500 0.1482 0.2166
O3 0.7500 0.4564 0.3404
O4 0.2500 0.5436 0.6596
O5 0.2500 0.4137 0.7876
O6 0.7500 0.8518 0.7834
O7 0.7500 0.5863 0.2124
O8 0.2500 0.7129 0.8085
O9 0.7500 0.5673 0.7814
O10 0.2500 0.4327 0.2186



# 2
# LiMnIr

A PBEsol-optimized structure of LiMnIr (meta-GGA SCAN, Alexandria via LeMat-Bulk).

Results
- total magnetization (Bohr magnetons per cell) = 0.0
- energy relative to the elements (eV per formula unit) = 0.135
- ΔE to the lowest computed polymorph (meV per atom) = 0

Cell lengths 2.5723, 3.9513, 3.9513 Å; angles 120.00, 90.00, 90.00 degrees
Positions (direct):
Ir1 0.0045 0.0000 0.0000
Li1 0.6339 0.6667 0.3333
Mn1 0.3616 0.3333 0.6667



# 3
# Zn2CrIN

A PBEsol-optimized structure of Zn2CrIN (meta-GGA SCAN, Alexandria via LeMat-Bulk).

Results
- uncorrected formation energy (eV/atom) = 1.60
- total magnetization (Bohr magnetons per cell) = 5.6

Cell lengths 3.9707, 5.3520, 5.3520 Å; angles 90.00, 90.00, 90.00 degrees
Last column: magnetic moment on the atom in μB.
Positions (direct):
I1 0.0000 0.0000 0.0000  0.09
Cr1 0.5000 0.5000 0.5000  4.30
Zn1 0.0000 0.0000 0.5000  -0.01
Zn2 0.0000 0.5000 0.0000  -0.01
N1 0.5000 0.0000 0.0000  0.37



# 4
# Cd2CoSbC

A PBEsol-optimized structure of Cd2CoSbC (meta-GGA SCAN, Alexandria via LeMat-Bulk).

Results
- uncorrected formation energy (eV/atom) = 0.74
- total magnetization (Bohr magnetons per cell) = 0.0

Cell lengths 3.6451, 4.8633, 4.8633 Å; angles 90.00, 90.00, 90.00 degrees
Positions (direct):
Sb1 0.5000 0.5000 0.5000
C1 0.0000 0.0000 0.0000
Co1 0.5000 0.0000 0.0000
Cd1 0.0000 0.0000 0.5000
Cd2 0.0000 0.5000 0.0000



# 5
# CsYTc2

A PBEsol-optimized structure of CsYTc2 (meta-GGA SCAN, Alexandria via LeMat-Bulk).

Results
- total magnetization (Bohr magnetons per cell) = 1.0
- energy relative to the elements (eV per formula unit) = 6.768

Cell lengths 4.8508, 4.8508, 4.8508 Å; angles 60.00, 60.00, 60.00 degrees
Last column: magnetic moment on the atom in μB.
Positions (direct):
Cs1 0.5000 0.5000 0.5000  0.32
Y1 0.0000 0.0000 0.0000  -0.04
Tc1 0.2500 0.2500 0.2500  0.50
Tc2 0.7500 0.7500 0.7500  0.50



# 6
# Ba2RhAu

A PBEsol-optimized structure of Ba2RhAu (meta-GGA SCAN, Alexandria via LeMat-Bulk).

Results
- total magnetization (Bohr magnetons per cell) = 0.0
- energy relative to the elements (eV per formula unit) = -1.636

Cell lengths 3.7620, 3.7620, 7.8399 Å; angles 90.00, 90.00, 90.00 degrees
Positions (direct):
Au1 0.5000 0.5000 0.5000
Rh1 0.5000 0.5000 0.0000
Ba1 0.0000 0.0000 0.7673
Ba2 0.0000 0.0000 0.2327



# 7
# Mg2AlSb

A PBEsol-optimized structure of Mg2AlSb (meta-GGA SCAN, Alexandria via LeMat-Bulk).

Results
- uncorrected formation energy (eV/atom) = -0.01
- total magnetization (Bohr magnetons per cell) = 0.0
- ΔE to the lowest computed polymorph (meV per atom) = 61

Cell lengths 3.0729, 4.7284, 6.2217 Å; angles 90.00, 105.31, 90.00 degrees
Positions (direct):
Sb1 0.1806 0.0000 0.4809
Mg1 0.9207 0.0000 0.9667
Mg2 0.5700 0.5000 0.2674
Al1 0.3287 0.5000 0.7851



# 8
# CaY2Mg

A PBEsol-optimized structure of CaY2Mg (meta-GGA SCAN, Alexandria via LeMat-Bulk).

Results
- total magnetization (Bohr magnetons per cell) = 0.4
- energy relative to the elements (eV per formula unit) = 0.122

Cell lengths 3.7107, 5.5372, 6.7901 Å; angles 113.98, 105.86, 90.00 degrees
Last column: magnetic moment on the atom in μB.
Positions (direct):
Y1 0.2235 0.2235 0.4470  0.11
Y2 0.7765 0.7765 0.5530  0.11
Ca1 0.0000 0.5000 0.0000  0.00
Mg1 0.5000 0.0000 0.0000  0.00



# 9
# KRb3Ag

A PBEsol-optimized structure of KRb3Ag (meta-GGA SCAN, Alexandria via LeMat-Bulk).

Results
- total magnetization (Bohr magnetons per cell) = 0.2
- energy relative to the elements (eV per formula unit) = 0.378
- ΔE to the lowest computed polymorph (meV per atom) = 0

Cell lengths 6.9316, 6.9316, 6.9316 Å; angles 90.00, 90.00, 90.00 degrees
Positions (direct):
K1 0.5000 0.5000 0.5000
Ag1 0.0000 0.0000 0.0000
Rb1 0.0000 0.5000 0.0000
Rb2 0.0000 0.0000 0.5000
Rb3 0.5000 0.0000 0.0000



# 10
# CoSI2F

A PBEsol-optimized structure of CoSI2F (meta-GGA SCAN, Alexandria via LeMat-Bulk).

Results
- uncorrected formation energy (eV/atom) = 0.26
- total magnetization (Bohr magnetons per cell) = 2.7

Cell lengths 4.1370, 5.4449, 5.4449 Å; angles 90.00, 90.00, 90.00 degrees
Last column: magnetic moment on the atom in μB.
Positions (direct):
I1 0.0000 0.0000 0.5000  0.12
I2 0.0000 0.5000 0.0000  0.12
S1 0.0000 0.0000 0.0000  0.01
Co1 0.5000 0.0000 0.0000  1.92
F1 0.5000 0.5000 0.5000  0.29



# 11
# FeSbS

A PBEsol-optimized structure of FeSbS (meta-GGA SCAN, Alexandria via LeMat-Bulk).

Results
- uncorrected formation energy (eV/atom) = -0.31
- total magnetization (Bohr magnetons per cell) = 0.0

Cell lengths 5.8362, 5.9680, 5.9516 Å; angles 112.75, 90.00, 90.00 degrees
Positions (direct):
Fe1 0.9817 0.3025 0.3030
Fe2 0.5183 0.3025 0.8030
Fe3 0.0183 0.6975 0.6970
Fe4 0.4817 0.6975 0.1970
Sb1 0.3662 0.1473 0.3689
Sb2 0.6338 0.8527 0.6311
Sb3 0.1338 0.1473 0.8689
Sb4 0.8662 0.8527 0.1311
S1 0.3591 0.6416 0.8301
S2 0.6409 0.3584 0.1699
S3 0.8591 0.3584 0.6699
S4 0.1409 0.6416 0.3301



# 12
# LiCoSi2

A PBEsol-optimized structure of LiCoSi2 (meta-GGA SCAN, Alexandria via LeMat-Bulk).

Results
- uncorrected formation energy (eV/atom) = -0.12
- total magnetization (Bohr magnetons per cell) = 0.3
- ΔE to the lowest computed polymorph (meV per atom) = 0

Cell lengths 2.6748, 4.0194, 4.7968 Å; angles 98.42, 90.00, 109.44 degrees
Last column: magnetic moment on the atom in μB.
Positions (direct):
Si1 0.7632 0.5265 0.7800  0.00
Si2 0.2368 0.4735 0.2200  0.00
Co1 0.5000 0.0000 0.0000  0.32
Li1 0.0000 0.0000 0.5000  0.00



# 13
# LaSc2Tl2

A PBEsol-optimized structure of LaSc2Tl2 (meta-GGA SCAN, Alexandria via LeMat-Bulk).

Results
- total magnetization (Bohr magnetons per cell) = 0.0
- energy relative to the elements (eV per formula unit) = -2.428
- ΔE to the lowest computed polymorph (meV per atom) = 0

Cell lengths 4.5299, 4.5299, 7.3052 Å; angles 108.06, 108.06, 90.00 degrees
Positions (direct):
Sc1 0.2500 0.7500 0.5000
Sc2 0.7500 0.2500 0.5000
Tl1 0.6080 0.6080 0.2160
Tl2 0.3920 0.3920 0.7840
La1 0.0000 0.0000 0.0000



# 14
# TiMnInIr2

A PBEsol-optimized structure of TiMnInIr2 (meta-GGA SCAN, Alexandria via LeMat-Bulk).

Results
- total magnetization (Bohr magnetons per cell) = 0.0
- energy relative to the elements (eV per formula unit) = 2.874

Cell lengths 4.2674, 4.5006, 4.5006 Å; angles 90.00, 90.00, 90.00 degrees
Positions (direct):
Ir1 0.0000 0.0000 0.5000
Ir2 0.0000 0.5000 0.0000
Ti1 0.5000 0.0000 0.0000
Mn1 0.0000 0.0000 0.0000
In1 0.5000 0.5000 0.5000



# 15
# Na5SnP3

A PBEsol-optimized structure of Na5SnP3 (meta-GGA SCAN, Alexandria via LeMat-Bulk).

Results
- total magnetization (Bohr magnetons per cell) = 0.0
- energy relative to the elements (eV per formula unit) = -4.226

Cell lengths 7.3786, 8.2771, 13.2365 Å; angles 89.52, 90.00, 90.00 degrees
Positions (direct):
Na1 0.5046 0.3312 0.7597
Na2 0.0046 0.1688 0.7403
Na3 0.4954 0.6688 0.2403
Na4 0.9954 0.8312 0.2597
Na5 0.9621 0.8220 0.5884
Na6 0.4621 0.6780 0.9116
Na7 0.0379 0.1780 0.4116
Na8 0.5379 0.3220 0.0884
Na9 0.4795 0.6663 0.5888
Na10 0.9795 0.8337 0.9112
Na11 0.5205 0.3337 0.4112
Na12 0.0205 0.1663 0.0888
Na13 0.3381 0.0775 0.9183
Na14 0.8381 0.4225 0.5817
Na15 0.6619 0.9225 0.0817
Na16 0.1619 0.5775 0.4183
Na17 0.1451 0.5722 0.7424
Na18 0.6451 0.9278 0.7576
Na19 0.8549 0.4278 0.2576
Na20 0.3549 0.0722 0.2424
Sn1 0.3531 0.0717 0.5894
Sn2 0.8531 0.4283 0.9106
Sn3 0.6469 0.9283 0.4106
Sn4 0.1469 0.5717 0.0894
P1 0.2961 0.9054 0.4293
P2 0.7961 0.5946 0.0707
P3 0.7039 0.0946 0.5707
P4 0.2039 0.4054 0.9293
P5 0.2330 0.3557 0.5826
P6 0.7330 0.1443 0.9174
P7 0.7670 0.6443 0.4174
P8 0.2670 0.8557 0.0826
P9 0.2557 0.9016 0.7372
P10 0.7557 0.5984 0.7628
P11 0.7443 0.0984 0.2628
P12 0.2443 0.4016 0.2372



# 16
# Mg3FeB

A PBEsol-optimized structure of Mg3FeB (meta-GGA SCAN, Alexandria via LeMat-Bulk).

Results
- total magnetization (Bohr magnetons per cell) = 3.3
- energy relative to the elements (eV per formula unit) = 2.909

Cell lengths 4.4567, 4.4567, 4.4567 Å; angles 90.00, 90.00, 90.00 degrees
Last column: magnetic moment on the atom in μB.
Positions (direct):
Mg1 0.0000 0.5000 0.0000  -0.01
Mg2 0.0000 0.0000 0.5000  -0.01
Mg3 0.5000 0.0000 0.0000  -0.01
B1 0.0000 0.0000 0.0000  0.17
Fe1 0.5000 0.5000 0.5000  3.25



# 17
# BeCo2Se

A PBEsol-optimized structure of BeCo2Se (meta-GGA SCAN, Alexandria via LeMat-Bulk).

Results
- uncorrected formation energy (eV/atom) = 0.19
- total magnetization (Bohr magnetons per cell) = 0.0
- ΔE to the lowest computed polymorph (meV per atom) = 55

Cell lengths 2.8848, 3.8545, 4.2408 Å; angles 103.98, 109.88, 90.00 degrees
Positions (direct):
Be1 0.7437 0.1754 0.4874
Co1 0.0116 0.0807 0.0232
Co2 0.2407 0.6925 0.4814
Se1 0.5040 0.5514 0.0080



# 18
# HgAu5

A PBEsol-optimized structure of HgAu5 (meta-GGA SCAN, Alexandria via LeMat-Bulk).

Results
- total magnetization (Bohr magnetons per cell) = 0.0
- energy relative to the elements (eV per formula unit) = 0.295
- ΔE to the lowest computed polymorph (meV per atom) = 1

Cell lengths 2.9987, 4.7737, 7.4907 Å; angles 90.00, 101.55, 90.00 degrees
Positions (direct):
Au1 0.0038 0.0000 0.0075
Au2 0.6691 0.0000 0.3382
Au3 0.3338 0.0000 0.6677
Au4 0.5551 0.5000 0.1102
Au5 0.2181 0.5000 0.4362
Hg1 0.8868 0.5000 0.7736



# 19
# CaBe2Pt2

A PBEsol-optimized structure of CaBe2Pt2 (meta-GGA SCAN, Alexandria via LeMat-Bulk).

Results
- total magnetization (Bohr magnetons per cell) = 0.0
- energy relative to the elements (eV per formula unit) = -4.198
- ΔE to the lowest computed polymorph (meV per atom) = 60

Cell lengths 2.7702, 7.0398, 7.0398 Å; angles 90.00, 90.00, 90.00 degrees
Positions (direct):
Be1 0.0000 0.3827 0.8827
Be2 0.0000 0.8827 0.6173
Be3 0.0000 0.6173 0.1173
Be4 0.0000 0.1173 0.3827
Ca1 0.0000 0.0000 0.0000
Ca2 0.0000 0.5000 0.5000
Pt1 0.5000 0.1677 0.6677
Pt2 0.5000 0.6677 0.8323
Pt3 0.5000 0.8323 0.3323
Pt4 0.5000 0.3323 0.1677



# 20
# DySiAg

A PBEsol-optimized structure of DySiAg (meta-GGA SCAN, Alexandria via LeMat-Bulk).

Results
- uncorrected formation energy (eV/atom) = -0.63
- total magnetization (Bohr magnetons per cell) = 0.0

Cell lengths 4.1492, 6.9251, 6.9251 Å; angles 120.00, 90.00, 90.00 degrees
Positions (direct):
Si1 0.0000 0.3333 0.6667
Si2 0.0000 0.6667 0.3333
Si3 0.5000 0.0000 0.0000
Ag1 0.0000 0.2489 0.0000
Ag2 0.0000 0.7511 0.7511
Ag3 0.0000 0.0000 0.2489
Dy1 0.5000 0.5806 0.0000
Dy2 0.5000 0.4194 0.4194
Dy3 0.5000 0.0000 0.5806



Looking at final energy for the records above, in order, we have -1.607, -2.244, -1.226, -1.791, -2.370, -3.375, -1.011, -1.290, -1.493, -1.509, -1.616, -0.739, -3.215, -3.043, -0.755, -0.552, -1.071, -5.067, -2.395, -2.232 Ry/atom.